Entry 1:
This record from OQMD via LeMat-Bulk describes an optimized crystal structure of PrGeAuS3. The functional is PBE.

It has space group Cmcm (No. 63), with a = 3.915 Å, b = 12.745 Å, c = 10.775 Å, α = 90.00°, β = 90.00° and γ = 90.00°. The asymmetric unit holds Pr at (0.000, 0.000, 0.000), Ge at (0.000, 0.231, 0.250), Au at (0.000, 0.473, 0.750), S at (0.000, 0.106, 0.750) and S at (0.000, 0.347, 0.574).

Its volume is 538 Å³/cell. As for the electronic total energy: -4.919 eV per atom. The crystal system is orthorhombic.



Entry 2:
This record from OQMD via LeMat-Bulk describes an optimized crystal structure of Ho2Te2O5. The functional is PBE.

It has space group P4/mmm (No. 123), with a = 3.889 Å, b = 3.889 Å, c = 9.134 Å, α = 90.00°, β = 90.00° and γ = 90.00°. The asymmetric unit holds Ho at (0.000, 0.000, 0.240), Te at (0.500, 0.500, 0.000), Te at (0.500, 0.500, 0.500), O at (0.000, 0.000, 0.000) and O at (0.000, 0.500, 0.356).

Its volume is 138 Å³/cell. As for the electronic total energy: -6.477 eV per atom. The energy above the lowest structure with this stoichiometry is 0.0 meV per atom. The crystal system is tetragonal.



Entry 3:
This record from OQMD via LeMat-Bulk describes an optimized crystal structure of Y4CdFeN2. The functional is PBE.

It has space group P-6m2 (No. 187), with a = 3.4758 Å, b = 3.4758 Å, c = 15.1321 Å, α = 90.00°, β = 90.00° and γ = 120.00°. The asymmetric unit holds Y at (0.0000, 0.0000, 0.1383), Y at (0.3333, 0.6667, 0.3204), Cd at (0.0000, 0.0000, 0.5000), Fe at (0.3333, 0.6667, 0.0000) and N at (0.6667, 0.3333, 0.2375).

Its volume is 158 Å³/cell. As for the electronic total energy: -7.170 eV per atom. The energy above the lowest structure with this stoichiometry is 0.0 meV per atom. The crystal system is hexagonal.



Entry 4:
This record from OQMD via LeMat-Bulk describes an optimized crystal structure of CuAgBr4. The functional is PBE.

It has space group P2/m (No. 10), with a = 6.446 Å, b = 4.011 Å, c = 6.569 Å, α = 90.00°, β = 95.84° and γ = 90.00°. The asymmetric unit holds Cu at (0.000, 0.000, 0.000), Ag at (0.000, 0.500, 0.500), Br at (0.227, 0.500, 0.848) and Br at (0.237, 0.000, 0.307).

Its volume is 169 Å³/cell. As for the electronic total energy: -2.389 eV per atom. The crystal system is monoclinic.



Entry 5:
This record from OQMD via LeMat-Bulk describes an optimized crystal structure of Ba2LiOsN6. The functional is PBE.

It has space group I4/m (No. 87), with a = 5.786 Å, b = 5.786 Å, c = 8.194 Å, α = 90.00°, β = 90.00° and γ = 90.00°. The asymmetric unit holds Ba at (0.000, 0.500, 0.250), Li at (0.000, 0.000, 0.000), Os at (0.000, 0.000, 0.500), N at (0.000, 0.000, 0.262) and N at (0.236, 0.240, 0.500).

Its volume is 274 Å³/cell. As for the electronic total energy: -6.171 eV per atom. The crystal system is tetragonal.



Entry 6:
This record from OQMD via LeMat-Bulk describes an optimized crystal structure of NaSmHgTe3. The functional is PBE.

It has space group C2/m (No. 12), with a = 20.588 Å, b = 4.391 Å, c = 9.111 Å, α = 90.00°, β = 103.05° and γ = 90.00°. The asymmetric unit holds Na at (0.122, 0.000, 0.081), Sm at (0.176, 0.000, 0.593), Hg at (0.045, 0.500, 0.725), Te at (0.000, 0.000, 0.500), Te at (0.000, 0.500, 0.000), Te at (0.171, 0.500, 0.351) and Te at (0.184, 0.500, 0.846).

Its volume is 802 Å³/cell. As for the electronic total energy: -3.442 eV per atom. The energy above the lowest structure with this stoichiometry is 63.7 meV per atom. The crystal system is monoclinic.